[1]
CaIr3Se: single point on PBEsol structure, SCAN.

Structure (POSCAR):
```
CaIr3Se
1.0
4.720 0.000 0.000
0.000 4.720 0.000
0.000 0.000 4.720
Ca Ir Se
1 3 1
Direct
0.000 0.000 0.000 Ca
0.000 0.500 0.000 Ir
0.000 0.000 0.500 Ir
0.500 0.000 0.000 Ir
0.500 0.500 0.500 Se
```

Density of states at the Fermi level   4.69 states/eV per cell
DFT total energy   -45.814 eV per atom
ΔE_f (raw)   2.79 eV per atom
Symmetry   No. 221

[2]
Zr3Ni20B6: single point on PBEsol structure, SCAN.

Structure (POSCAR):
```
Zr3Ni20B6
1.0
-1.647 5.713 4.518
-5.959 4.275 -1.407
-5.989 -0.362 4.446
Zr Ni B
3 20 6
Direct
0.000 0.000 0.000 Zr
0.750 0.750 0.750 Zr
0.250 0.250 0.250 Zr
0.614 0.159 0.614 Ni
0.614 0.614 0.159 Ni
0.614 0.614 0.614 Ni
0.159 0.614 0.614 Ni
0.386 0.841 0.386 Ni
0.386 0.386 0.841 Ni
0.386 0.386 0.386 Ni
0.841 0.386 0.386 Ni
0.655 0.345 0.000 Ni
0.000 0.345 0.000 Ni
0.000 0.345 0.655 Ni
0.000 0.000 0.345 Ni
0.655 0.000 0.345 Ni
0.000 0.655 0.345 Ni
0.000 0.000 0.655 Ni
0.000 0.655 0.000 Ni
0.655 0.000 0.000 Ni
0.345 0.655 0.000 Ni
0.345 0.000 0.655 Ni
0.345 0.000 0.000 Ni
0.267 0.267 0.733 B
0.733 0.267 0.733 B
0.733 0.267 0.267 B
0.733 0.733 0.267 B
0.267 0.733 0.267 B
0.267 0.733 0.733 B
```

Density of states at the Fermi level   18.95 states/eV per cell
DFT total energy   -16.304 eV per atom
Symmetry   No. 225

[3]
InSeN2F: single point on PBEsol structure, SCAN.

Structure (POSCAR):
```
InSeN2F
1.0
3.937 0.000 0.000
0.000 4.489 0.000
0.000 0.000 4.489
N F Se In
2 1 1 1
Direct
0.000 0.000 0.500 N
0.000 0.500 0.000 N
0.000 0.000 0.000 F
0.500 0.000 0.000 Se
0.500 0.500 0.500 In
```

Density of states at the Fermi level   1.66 states/eV per cell
DFT total energy   -13.543 eV per atom
ΔE_f (raw)   1.57 eV per atom
Symmetry   No. 123

[4]
RbBeSb2I: single point on PBEsol structure, SCAN.

Structure (POSCAR):
```
RbBeSb2I
1.0
6.589 0.000 0.000
0.000 7.436 0.000
0.000 0.000 7.436
I Sb Rb Be
1 2 1 1
Direct
0.500 0.000 0.000 I
0.000 0.000 0.500 Sb
0.000 0.500 0.000 Sb
0.000 0.000 0.000 Rb
0.500 0.500 0.500 Be
```

DFT total energy   -25.927 eV per atom
ΔE_f (raw)   1.34 eV per atom
Symmetry   No. 123

[5]
La2ZnPt: single point on PBEsol structure, SCAN.

Structure (POSCAR):
```
La2ZnPt
1.0
-1.607 -3.486 1.147
1.596 0.629 4.148
-3.908 4.380 0.839
Zn Pt La
1 1 2
Direct
0.557 0.500 0.113 Zn
0.698 0.000 0.397 Pt
0.991 0.000 0.981 La
0.268 0.500 0.536 La
```

Density of states at the Fermi level   2.99 states/eV per cell
DFT total energy   -43.348 eV per atom
Symmetry   No. 38

[6]
TaPt2: single point on PBEsol structure, SCAN.

Structure (POSCAR):
```
TaPt2
1.0
-3.375 -3.116 1.078
3.347 -3.165 1.328
-1.808 3.083 3.251
Pt Ta
4 2
Direct
0.250 0.451 0.326 Pt
0.750 0.874 0.326 Pt
0.750 0.549 0.674 Pt
0.250 0.126 0.674 Pt
0.250 0.775 0.000 Ta
0.750 0.225 0.000 Ta
```

Density of states at the Fermi level   1.99 states/eV per cell
DFT total energy   -69.878 eV per atom
Symmetry   No. 63

[7]
Sr4Ti3Nb2O15: single point on PBEsol structure, SCAN.

Structure (POSCAR):
```
Sr4Ti3Nb2O15
1.0
-4.508 2.497 2.070
-3.583 -2.878 3.118
3.161 2.702 11.072
Sr Ti Nb O
4 3 2 15
Direct
0.402 0.402 0.795 Sr
0.801 0.801 0.596 Sr
0.199 0.199 0.404 Sr
0.598 0.598 0.205 Sr
0.101 0.101 0.698 Ti
0.500 0.500 0.500 Ti
0.899 0.899 0.302 Ti
0.300 0.300 0.101 Nb
0.700 0.700 0.899 Nb
0.900 0.408 0.791 O
0.100 0.592 0.209 O
0.500 0.000 0.000 O
0.301 0.800 0.599 O
0.699 0.200 0.401 O
0.000 0.500 0.000 O
0.200 0.699 0.401 O
0.592 0.100 0.209 O
0.408 0.900 0.791 O
0.800 0.301 0.599 O
0.500 0.500 0.000 O
0.699 0.699 0.401 O
0.100 0.100 0.209 O
0.900 0.900 0.791 O
0.301 0.301 0.599 O
```

Density of states at the Fermi level   0.00 states/eV per cell
DFT total energy   -15.631 eV per atom
ΔE_f (raw)   -3.26 eV per atom
Symmetry   No. 166

[8]
Gd2Fe17H3: single point on PBEsol structure, SCAN.

Structure (POSCAR):
```
Gd2Fe17H3
1.0
-5.653 -1.426 2.250
1.888 -4.623 3.757
0.424 3.449 5.194
Gd Fe H
2 17 3
Direct
0.657 0.657 0.657 Gd
0.343 0.343 0.343 Gd
0.000 0.500 0.000 Fe
0.000 0.000 0.500 Fe
0.500 0.000 0.000 Fe
0.285 0.000 0.715 Fe
0.715 0.285 0.000 Fe
0.000 0.715 0.285 Fe
0.285 0.715 0.000 Fe
0.000 0.285 0.715 Fe
0.715 0.000 0.285 Fe
0.341 0.847 0.341 Fe
0.341 0.341 0.847 Fe
0.847 0.341 0.341 Fe
0.659 0.153 0.659 Fe
0.659 0.659 0.153 Fe
0.153 0.659 0.659 Fe
0.904 0.904 0.904 Fe
0.096 0.096 0.096 Fe
0.500 0.000 0.500 H
0.500 0.500 0.000 H
0.000 0.500 0.500 H
```

Density of states at the Fermi level   13.44 states/eV per cell
DFT total energy   -19.806 eV per atom
Symmetry   No. 166

[9]
Pt8W: single point on PBEsol structure, SCAN.

Structure (POSCAR):
```
Pt8W
1.0
-2.040 1.713 -2.841
0.312 -3.580 -5.053
-5.854 -2.017 0.318
W Pt
1 8
Direct
0.000 0.000 0.000 W
0.671 0.329 0.329 Pt
0.329 0.671 0.671 Pt
0.000 0.329 0.671 Pt
0.661 0.677 0.000 Pt
0.339 0.000 0.323 Pt
0.000 0.671 0.329 Pt
0.661 0.000 0.677 Pt
0.339 0.323 0.000 Pt
```

Density of states at the Fermi level   8.38 states/eV per cell
DFT total energy   -70.329 eV per atom
Symmetry   No. 139

[10]
Ca2ScP: single point on PBEsol structure, SCAN.

Structure (POSCAR):
```
Ca2ScP
1.0
3.442 0.034 0.000
-0.041 3.442 0.000
0.000 0.000 8.867
Ca P Sc
2 1 1
Direct
0.000 0.000 0.319 Ca
0.000 0.000 0.681 Ca
0.500 0.500 0.500 P
0.500 0.500 0.000 Sc
```

Density of states at the Fermi level   4.55 states/eV per cell
DFT total energy   -11.383 eV per atom
Symmetry   No. 65